Computed, not measured: Na2BeGeO4 after structural relaxation at the GGA-PBE level of DFT.

abc: 7.2857 5.0841 10.2458
angles: 90.00 90.46 90.00
With the nearest neighbours (Å) after each atom.
Space group P2_1/c (No. 14)
Asymmetric unit:
Na 0.0010 0.2070 0.3915 (multiplicity 4)  4 O 2.36-2.43
Na 0.2622 0.6809 0.3610 (multiplicity 4)  4 O 2.30-2.54
Be 0.4994 0.6562 0.0871 (multiplicity 4)  4 O 1.62-1.69
Ge 0.2801 0.1547 0.1595 (multiplicity 4)  4 O 1.75-1.79
O 0.0520 0.2363 0.1219 (multiplicity 4)  1 Ge 1.75
O 0.3133 0.6865 0.6253 (multiplicity 4)  1 Be 1.62, 1 Ge 1.79
O 0.3153 0.2166 0.3294 (multiplicity 4)  1 Be 1.62, 1 Ge 1.79
O 0.4534 0.1681 0.5737 (multiplicity 4)  2 Be 1.69, 1 Ge 1.79

**V**: 11.86 Å³/atom
**N(E_F)**: 0.0 states/eV/cell
**Formation energy from raw total energies**: -2.03 eV/atom

Computed, not measured: K2SrCd3Hg12 after structural relaxation at the GGA-PBE level of DFT.

abc: 7.3143 7.3143 37.6915
angles: 90.00 90.00 120.00
With the nearest neighbours (Å) after each atom.
Space group R-3m (No. 166, hexagonal axes)
Asymmetric unit:
K 0.0000 0.0000 0.1357 (multiplicity 6)  12 Hg 3.68-3.92
Sr 0.0000 0.0000 0.5000 (multiplicity 3)  6 Hg 3.24
Cd 0.0000 0.5000 0.0000 (multiplicity 9)  4 Hg 2.98
Hg 0.0327 0.5164 0.8933 (multiplicity 18)  4 Hg 3.07-3.30, 1 Sr 3.24
Hg 0.0521 0.5261 0.6163 (multiplicity 18)  2 Cd 2.98, 4 Hg 3.07-3.09

**V**: 32.34 Å³/atom
**N(E_F)**: 27.4 states/eV/cell
**DFT formation energy**: -0.10 eV/atom

Computed, not measured: KZr2Sb after structural relaxation at the GGA-PBE level of DFT.

abc: 3.2695 5.1435 7.3729
angles: 90.00 100.03 90.00
With the nearest neighbours (Å) after each atom.
Space group P2/m (No. 10)
Asymmetric unit:
K 0.0000 0.0000 0.0000 (multiplicity 1)  2 K 3.27
Zr 0.3026 0.5000 0.6640 (multiplicity 2)  2 Zr 2.85-2.93, 2 Sb 2.96
Sb 0.5000 0.0000 0.5000 (multiplicity 1)  4 Zr 2.96, 2 Sb 3.27

**V**: 30.52 Å³/atom
**N(E_F)**: 2.5 states/eV/cell
**Formation energy from raw total energies**: 0.23 eV/atom

Computed, not measured: TbNbIr after structural relaxation at the GGA-PBE level of DFT.

abc: 4.5633 4.5633 6.5161
angles: 90.00 90.00 90.00
With the nearest neighbours (Å) after each atom.
Space group P4/nmm (No. 129, origin choice 2)
Asymmetric unit:
Tb 0.2500 0.2500 0.1344 (multiplicity 2)  1 Ir 2.89
Nb 0.2500 0.7500 0.5000 (multiplicity 2)  4 Ir 2.60
Ir 0.2500 0.2500 0.6908 (multiplicity 2)  4 Nb 2.60, 1 Tb 2.89

**V**: 22.62 Å³/atom
**N(E_F)**: 7.4 states/eV/cell
**DFT formation energy**: -0.50 eV/atom

Computed, not measured: RbSc2IrO after structural relaxation at the GGA-PBE level of DFT.

abc: 5.1544 5.1544 4.1025
angles: 90.00 90.00 90.00
With the nearest neighbours (Å) after each atom.
Space group P4/mmm (No. 123)
Asymmetric unit:
Rb 0.0000 0.0000 0.0000 (multiplicity 1)  2 O 2.05
Sc 0.0000 0.5000 0.0000 (multiplicity 2)  2 Rb 2.58
Ir 0.5000 0.5000 0.5000 (multiplicity 1)  8 Sc 3.29, 4 O 3.64
O 0.0000 0.0000 0.5000 (multiplicity 1)  2 Rb 2.05

**V**: 21.80 Å³/atom
**N(E_F)**: 5.3 states/eV/cell
**Formation energy from raw total energies**: 1.30 eV/atom

Computed, not measured: Nb2Pt8Rh3 after structural relaxation at the GGA-PBE level of DFT.

abc: 12.4063 7.6401 4.5988
angles: 90.00 97.60 90.00
With the nearest neighbours (Å) after each atom.
Space group C2/m (No. 12)
Asymmetric unit:
Nb 0.1669 0.0000 0.2918 (multiplicity 4)  9 Pt 2.60-2.87
Pt 0.0553 0.0000 0.7712 (multiplicity 4)  3 Nb 2.60-2.75, 4 Pt 2.66-2.68, 2 Rh 2.80
Pt 0.1631 0.2857 0.6432 (multiplicity 8)  2 Rh 2.62-2.78, 2 Nb 2.66-2.72, 5 Pt 2.67-2.88
Pt 0.1956 0.5000 0.1536 (multiplicity 4)  3 Rh 2.79-3.07, 2 Nb 2.83-2.87, 7 Pt 2.85-3.06
Rh 0.0000 0.3220 0.0000 (multiplicity 4)  3 Rh 2.67-2.72, 6 Pt 2.78-2.80
Rh 0.0000 0.5000 0.5000 (multiplicity 2)  4 Pt 2.62, 4 Rh 2.67

**V**: 16.62 Å³/atom
**N(E_F)**: 22.3 states/eV/cell
**DFT formation energy**: -0.17 eV/atom

Computed, not measured: BaSrOF2 after structural relaxation at the GGA-PBE level of DFT.

abc: 4.8747 4.8747 5.2258
angles: 90.00 90.00 90.00
With the nearest neighbours (Å) after each atom.
Space group P4/mmm (No. 123)
Asymmetric unit:
Ba 0.0000 0.0000 0.0000 (multiplicity 1)  4 F 2.44, 2 O 2.61
Sr 0.5000 0.5000 0.5000 (multiplicity 1)  4 O 3.45, 8 F 3.57
O 0.0000 0.0000 0.5000 (multiplicity 1)  2 Ba 2.61
F 0.0000 0.5000 0.0000 (multiplicity 2)  2 Ba 2.44

**V**: 24.84 Å³/atom
**N(E_F)**: 0.9 states/eV/cell
**Formation energy from raw total energies**: -2.61 eV/atom

Computed, not measured: HgC3I after structural relaxation at the GGA-PBE level of DFT.

abc: 4.2820 4.2820 4.2820
angles: 90.00 90.00 90.00
With the nearest neighbours (Å) after each atom.
Space group Pm-3m (No. 221)
Asymmetric unit:
Hg 0.0000 0.0000 0.0000 (multiplicity 1)  12 C 3.03
C 0.0000 0.5000 0.5000 (multiplicity 3)  2 I 2.14
I 0.5000 0.5000 0.5000 (multiplicity 1)  6 C 2.14

**V**: 15.70 Å³/atom
**N(E_F)**: 3.8 states/eV/cell
**Formation energy from raw total energies**: 3.42 eV/atom

V of number 1 (Na2BeGeO4)?
11.86 Å³/atom